Computed, not measured: GaSn2Bi after structural relaxation at the GGA-PBEsol level of DFT.

- Space-group type: I-42d, No. 122
- Crystal system: tetragonal
- ρ: 6442 kg/m3
- DFT formation energy: 8 kJ/mol of atoms
- VASP energy: -3.95 eV/atom

Unit cell a=7.893 b=7.893 c=7.893 alpha=132.01 beta=132.01 gamma=70.21
Sites, in units of the cell vectors:
Ga  0.000  0.000  0.000
Ga  0.750  0.250  0.500
Sn  0.084  0.625  0.959
Sn  0.375  0.334  0.459
Sn  0.666  0.125  0.041
Sn  0.875  0.916  0.541
Bi  0.250  0.750  0.500
Bi  0.500  0.500  0.000

***

Computed, not measured: Ga2SnBi after structural relaxation at the GGA-PBEsol level of DFT.

- Space-group type: I-42d, No. 122
- Crystal system: tetragonal
- ρ: 6452 kg/m3
- DFT formation energy: 10 kJ/mol of atoms
- Energy relative to the lowest polymorph listed for this composition: 39 meV per atom
- VASP energy: -3.70 eV/atom

Unit cell a=7.604 b=7.604 c=7.604 alpha=131.65 beta=131.65 gamma=70.78
Sites, in units of the cell vectors:
Ga  0.111  0.625  0.986
Ga  0.375  0.361  0.486
Ga  0.639  0.125  0.014
Ga  0.875  0.889  0.514
Sn  0.000  0.000  0.000
Sn  0.750  0.250  0.500
Bi  0.250  0.750  0.500
Bi  0.500  0.500  0.000

***

Computed, not measured: Ga2SnBi after structural relaxation at the GGA-PBEsol level of DFT.

- Space-group type: Fm-3m, No. 225
- Crystal system: cubic
- ρ: 8331 kg/m3
- DFT formation energy: 7 kJ/mol of atoms
- Energy relative to the lowest polymorph listed for this composition: 0 meV per atom
- VASP energy: -3.74 eV/atom

Unit cell a=5.087 b=5.087 c=5.087 alpha=60.00 beta=60.00 gamma=60.00
Sites, in units of the cell vectors:
Ga  0.250  0.250  0.250
Ga  0.750  0.750  0.750
Sn  0.000  0.000  0.000
Bi  0.500  0.500  0.500

***

Computed, not measured: GaSnBi2W after structural relaxation at the GGA-PBEsol level of DFT.

- Space-group type: P4/mmm, No. 123
- Crystal system: tetragonal
- ρ: 9239 kg/m3
- DFT formation energy: 67 kJ/mol of atoms
- VASP energy: -5.30 eV/atom

Unit cell a=5.368 b=5.368 c=4.929 alpha=90.00 beta=90.00 gamma=90.00
Sites, in units of the cell vectors:
Ga  0.000  0.000  0.000
Sn  0.500  0.500  0.000
Bi  0.000  0.500  0.500
Bi  0.500  0.000  0.500
W  0.000  0.000  0.500

***

Computed, not measured: SrGa3Bi after structural relaxation at the GGA-PBEsol level of DFT.

- Space-group type: Pm-3m, No. 221
- Crystal system: cubic
- ρ: 4993 kg/m3
- DFT formation energy: 32 kJ/mol of atoms
- VASP energy: -2.90 eV/atom

Unit cell a=5.520 b=5.520 c=5.520 alpha=90.00 beta=90.00 gamma=90.00
Sites, in units of the cell vectors:
Sr  0.000  0.000  0.000
Ga  0.000  0.500  0.500
Ga  0.500  0.000  0.500
Ga  0.500  0.500  0.000
Bi  0.500  0.500  0.500

***

Computed, not measured: GaTcBi3 after structural relaxation at the GGA-PBEsol level of DFT.

- Space-group type: Pm-3m, No. 221
- Crystal system: cubic
- ρ: 8892 kg/m3
- DFT formation energy: 131 kJ/mol of atoms
- VASP energy: -4.14 eV/atom

Unit cell a=5.294 b=5.294 c=5.294 alpha=90.00 beta=90.00 gamma=90.00
Sites, in units of the cell vectors:
Ga  0.000  0.000  0.000
Tc  0.500  0.500  0.500
Bi  0.000  0.000  0.500
Bi  0.000  0.500  0.000
Bi  0.500  0.000  0.000

***

Computed, not measured: GaTc3Bi after structural relaxation at the GGA-PBEsol level of DFT.

- Space-group type: Pm-3m, No. 221
- Crystal system: cubic
- ρ: 8052 kg/m3
- DFT formation energy: 237 kJ/mol of atoms
- VASP energy: -5.82 eV/atom

Unit cell a=4.906 b=4.906 c=4.906 alpha=90.00 beta=90.00 gamma=90.00
Sites, in units of the cell vectors:
Ga  0.000  0.000  0.000
Tc  0.000  0.500  0.500
Tc  0.500  0.000  0.500
Tc  0.500  0.500  0.000
Bi  0.500  0.500  0.500

***

Computed, not measured: Ti2Ga2Bi after structural relaxation at the GGA-PBEsol level of DFT.

- Space-group type: I4/mmm, No. 139
- Crystal system: tetragonal
- ρ: 7481 kg/m3
- DFT formation energy: 6 kJ/mol of atoms
- VASP energy: -5.46 eV/atom

Unit cell a=6.303 b=6.303 c=6.303 alpha=140.95 beta=140.95 gamma=56.41
Sites, in units of the cell vectors:
Ti  0.250  0.750  0.500
Ti  0.750  0.250  0.500
Ga  0.110  0.110  0.000
Ga  0.890  0.890  0.000
Bi  0.500  0.500  0.000